First-principles (PBE with a Hubbard U) data for a relaxed structure of Li4Mn3NbP4O16, as listed in Alexandria.

**Density of states at the Fermi level**: 0.013 states/eV per atom
**Total energy**: -7.184 eV/atom
**V**: 317.98 Å³/cell

Cell lengths 4.7860, 6.2202, 10.6813 Å; angles 90.00, 90.11, 90.00 degrees
With the nearest neighbours (Å) after each atom.
Space group Pm (No. 6)
Inequivalent atoms, fractional coordinates:
Li  0.0000  0.2443  0.0000 [2 per cell]  6 O 2.11-2.30
Li  0.4961  0.2515  0.5051 [2 per cell]  6 O 2.12-2.24
Mn  0.0234  0.5000  0.2794 [1 per cell]  6 O 2.18-2.29
Mn  0.4721  0.5000  0.7792 [1 per cell]  6 O 2.16-2.31
Mn  0.9711  0.0000  0.7184 [1 per cell]  6 O 2.17-2.30
Nb  0.5256  0.0000  0.2245 [1 per cell]  6 O 2.25-2.33
P  0.0854  0.0000  0.4124 [1 per cell]  4 O 1.54-1.58
P  0.4127  0.0000  0.9038 [1 per cell]  4 O 1.54-1.57
P  0.5931  0.5000  0.0871 [1 per cell]  4 O 1.54-1.57
P  0.9094  0.5000  0.5907 [1 per cell]  4 O 1.54-1.57
O  0.2126  0.0000  0.5463 [1 per cell]  1 P 1.55
O  0.2148  0.2018  0.3436 [2 per cell]  1 P 1.58
O  0.2310  0.5000  0.5955 [1 per cell]  1 P 1.54
O  0.2728  0.5000  0.0961 [1 per cell]  1 P 1.54
O  0.2792  0.1993  0.8357 [2 per cell]  1 P 1.57
O  0.2926  0.0000  0.0392 [1 per cell]  1 P 1.56
O  0.7088  0.5000  0.9513 [1 per cell]  1 P 1.55
O  0.7325  0.3027  0.1550 [2 per cell]  1 P 1.57
O  0.7339  0.0000  0.8992 [1 per cell]  1 P 1.54
O  0.7639  0.0000  0.4142 [1 per cell]  1 P 1.54
O  0.7776  0.3008  0.6594 [2 per cell]  1 P 1.57
O  0.7883  0.5000  0.4552 [1 per cell]  1 P 1.56